[1]
Density functional theory data (GGA-PBE) for an optimized crystal structure of SrZnP4.

total energy: -24.62 eV/cell
ΔH_f (0 K): -0.5 kJ per mole of atoms

Cell: 5.5616 5.5616 5.5616 Å, 60.00 60.00 60.00°
Closest atoms and distances in Å follow each position.
Element x y z (fractional)
Sr 0.0000 0.0000 0.0000  12 P 3.32, 4 Zn 3.41
Zn 0.7500 0.7500 0.7500  12 P 3.23, 4 Sr 3.41
P 0.3941 0.3941 0.3941  3 P 2.36
P 0.3941 0.3941 0.8176  3 P 2.36
P 0.3941 0.8176 0.3941  3 P 2.36
P 0.8176 0.3941 0.3941  3 P 2.36

=====

[2]
Density functional theory data (GGA-PBE) for an optimized crystal structure of Sr2Zn2P.

total energy: -25.24 eV/cell
ΔH_f (0 K): -25.1 kJ per mole of atoms

Cell: 7.4211 7.4211 4.6648 Å, 90.00 90.00 90.00°
Closest atoms and distances in Å follow each position.
Element x y z (fractional)
Sr 0.1872 0.3128 0.0000  6 Zn 3.10-3.29
Sr 0.3128 0.8128 0.0000  6 Zn 3.10-3.29
Sr 0.6872 0.1872 0.0000  6 Zn 3.10-3.29
Sr 0.8128 0.6872 0.0000  6 Zn 3.10-3.29
Zn 0.1184 0.6184 0.5000  1 Zn 2.48
Zn 0.3816 0.1184 0.5000  1 Zn 2.48
Zn 0.6184 0.8816 0.5000  1 Zn 2.48
Zn 0.8816 0.3816 0.5000  1 Zn 2.48
P 0.0000 0.0000 0.5000  4 Zn 2.97
P 0.5000 0.5000 0.5000  4 Zn 2.97

=====

[3]
Density functional theory data (GGA-PBE) for an optimized crystal structure of SrZn2P2.

total energy: -18.49 eV/cell
ΔH_f (0 K): -66.3 kJ per mole of atoms

Cell: 4.1127 4.1127 7.1230 Å, 90.00 90.00 120.00°
Closest atoms and distances in Å follow each position.
Element x y z (fractional)
Sr 0.0000 0.0000 0.0000  6 P 3.07
Zn 0.3333 0.6667 0.6297  4 P 2.47-2.53
Zn 0.6667 0.3333 0.3703  4 P 2.47-2.53
P 0.3333 0.6667 0.2742  4 Zn 2.47-2.53
P 0.6667 0.3333 0.7258  4 Zn 2.47-2.53

=====

[4]
Density functional theory data (GGA-PBE) for an optimized crystal structure of SrZnP2.

total energy: -30.58 eV/cell
ΔH_f (0 K): -36.6 kJ per mole of atoms

Cell: 4.6329 6.0886 6.4508 Å, 90.00 90.00 90.00°
Closest atoms and distances in Å follow each position.
Element x y z (fractional)
Sr 0.0000 0.0000 0.0000  8 P 3.15-3.24, 2 Zn 3.23
Sr 0.5000 0.5000 0.5000  8 P 3.15-3.24, 2 Zn 3.23
Zn 0.0000 0.0000 0.5000  4 P 2.56
Zn 0.5000 0.5000 0.0000  4 P 2.56
P 0.0000 0.5000 0.1698  1 P 2.19
P 0.0000 0.5000 0.8302  1 P 2.19
P 0.5000 0.0000 0.3302  1 P 2.19
P 0.5000 0.0000 0.6698  1 P 2.19

=====

[5]
Density functional theory data (GGA-PBE) for an optimized crystal structure of SrZrP3.

total energy: -20.37 eV/cell
ΔH_f (0 K): 117.5 kJ per mole of atoms

Cell: 5.1049 5.1049 5.1049 Å, 90.00 90.00 90.00°
Closest atoms and distances in Å follow each position.
Element x y z (fractional)
Sr 0.0000 0.0000 0.0000  6 P 2.55
Zr 0.5000 0.5000 0.5000  12 P 3.61
P 0.0000 0.0000 0.5000  2 Sr 2.55
P 0.0000 0.5000 0.0000  2 Sr 2.55
P 0.5000 0.0000 0.0000  2 Sr 2.55

=====

[6]
Density functional theory data (GGA-PBE) for an optimized crystal structure of Sr2ZrP.

total energy: -51.21 eV/cell
ΔH_f (0 K): 6.1 kJ per mole of atoms

Cell: 4.0924 4.0924 29.2374 Å, 90.00 90.00 120.00°
Closest atoms and distances in Å follow each position.
Element x y z (fractional)
Sr 0.0000 0.0000 0.2251  3 P 2.92
Sr 0.0000 0.0000 0.7749  3 P 2.92
Sr 0.3333 0.6667 0.4416  3 P 2.92
Sr 0.3333 0.6667 0.8918  3 P 2.92
Sr 0.6667 0.3333 0.1082  3 P 2.92
Sr 0.6667 0.3333 0.5584  3 P 2.92
Zr 0.0000 0.0000 0.0000  6 Sr 3.95, 6 Zr 4.09
Zr 0.3333 0.6667 0.6667  6 Sr 3.95, 6 Zr 4.09
Zr 0.6667 0.3333 0.3333  6 Sr 3.95, 6 Zr 4.09
P 0.0000 0.0000 0.5000  6 Sr 2.92
P 0.3333 0.6667 0.1667  6 Sr 2.92
P 0.6667 0.3333 0.8333  6 Sr 2.92

=====

[7]
Density functional theory data (GGA-PBE) for an optimized crystal structure of SrZr2P.

total energy: -76.51 eV/cell
ΔH_f (0 K): -31.7 kJ per mole of atoms

Cell: 3.6352 3.6352 27.4444 Å, 90.00 90.00 120.00°
Closest atoms and distances in Å follow each position.
Element x y z (fractional)
Sr 0.0000 0.0000 0.0000  3 P 2.92
Sr 0.3333 0.6667 0.6667  3 P 2.92
Sr 0.6667 0.3333 0.3333  3 P 2.92
Zr 0.0000 0.0000 0.2159  3 Zr 3.17
Zr 0.0000 0.0000 0.4629  3 P 2.60
Zr 0.3333 0.6667 0.1296  3 P 2.60
Zr 0.3333 0.6667 0.8826  3 Zr 3.17
Zr 0.6667 0.3333 0.5493  3 Zr 3.17
Zr 0.6667 0.3333 0.7962  3 P 2.60
P 0.0000 0.0000 0.7405  3 Zr 2.60
P 0.3333 0.6667 0.4072  3 Zr 2.60
P 0.6667 0.3333 0.0738  3 Zr 2.60

=====

[8]
Density functional theory data (GGA-PBE) for an optimized crystal structure of SrZr2P.

total energy: -50.69 eV/cell
ΔH_f (0 K): -27.9 kJ per mole of atoms

Cell: 5.9007 10.2304 3.6580 Å, 90.00 90.00 90.00°
Closest atoms and distances in Å follow each position.
Element x y z (fractional)
Sr 0.0000 0.0000 0.0000  2 P 2.95
Sr 0.5000 0.5000 0.0000  2 P 2.95
Zr 0.0000 0.3284 0.5000  2 P 2.54
Zr 0.0000 0.6716 0.5000  2 P 2.54
Zr 0.5000 0.1716 0.5000  2 P 2.54
Zr 0.5000 0.8284 0.5000  2 P 2.54
P 0.0000 0.5000 0.0000  4 Zr 2.54
P 0.5000 0.0000 0.0000  4 Zr 2.54